BaZrAs2O8 | PBE-GGA | optimized geometry

Unit cell a=5.260 b=5.260 c=8.103 alpha=87.79 beta=87.79 gamma=65.18
Atoms (fractional coordinates):
O (0.303, 0.303, 0.586)
O (0.697, 0.697, 0.414)
O (0.774, 0.277, 0.193)
O (0.277, 0.774, 0.193)
O (0.772, 0.772, 0.062)
O (0.226, 0.723, 0.807)
O (0.228, 0.228, 0.938)
O (0.723, 0.226, 0.807)
As (0.636, 0.636, 0.219)
As (0.364, 0.364, 0.781)
Ba (0.000, 0.000, 0.500)
Zr (0.000, 0.000, 0.000)

**Total energy**: -7.1080 eV per atom
**Space-group type**: No. 12
**E_form (uncorrected)**: -2.155 eV per atom
**Magnetic moment**: 0.000 μB per formula unit

=====

Al4NiRu2 | PBE-GGA | optimized geometry

Unit cell a=4.207 b=4.207 c=7.058 alpha=72.66 beta=72.66 gamma=60.00
Atoms (fractional coordinates):
Ni (0.000, 0.000, 0.000)
Al (0.870, 0.870, 0.389)
Al (0.130, 0.130, 0.611)
Al (0.615, 0.615, 0.156)
Al (0.385, 0.385, 0.844)
Ru (0.743, 0.743, 0.771)
Ru (0.257, 0.257, 0.229)

**Total energy**: -6.1612 eV per atom
**Space-group type**: No. 166
**ΔE_f**: -0.55 eV per atom
**Magnetic moment**: 0.000 μB per formula unit

=====

Ba5Na2P2 | PBE-GGA | optimized geometry

Unit cell a=8.019 b=8.019 c=9.920 alpha=103.96 beta=103.96 gamma=113.77
Atoms (fractional coordinates):
Ba (0.000, 0.000, 0.000)
Ba (0.378, 0.878, 0.757)
Ba (0.878, 0.378, 0.757)
Ba (0.622, 0.122, 0.243)
Ba (0.122, 0.622, 0.243)
Na (0.752, 0.752, 0.505)
Na (0.248, 0.248, 0.495)
P (0.770, 0.230, 0.000)
P (0.230, 0.770, 0.000)

**Total energy**: -2.9493 eV per atom
**Space-group type**: No. 69
**ΔE_f**: -0.39 eV per atom
**Magnetic moment**: 0.000 μB per formula unit

=====

K4Cu3AgBr12 | PBE-GGA | optimized geometry

Unit cell a=9.062 b=9.062 c=9.062 alpha=109.47 beta=109.47 gamma=109.47
Atoms (fractional coordinates):
K (0.500, 0.500, 0.500)
K (0.000, 0.000, 0.500)
K (0.500, 0.000, 0.000)
K (0.000, 0.500, 0.000)
Cu (0.500, 0.000, 0.500)
Cu (0.500, 0.500, 0.000)
Cu (0.000, 0.500, 0.500)
Ag (0.000, 0.000, 0.000)
Br (0.250, 0.500, 0.750)
Br (0.738, 0.000, 0.738)
Br (0.262, 0.000, 0.262)
Br (0.750, 0.500, 0.250)
Br (0.738, 0.738, 0.000)
Br (0.262, 0.262, 0.000)
Br (0.750, 0.250, 0.500)
Br (0.250, 0.750, 0.500)
Br (0.500, 0.250, 0.750)
Br (0.000, 0.738, 0.738)
Br (0.500, 0.750, 0.250)
Br (0.000, 0.262, 0.262)

**Total energy**: -2.8214 eV per atom
**Space-group type**: No. 229
**E_form (uncorrected)**: -0.841 eV per atom
**Magnetic moment**: 0.000 μB per formula unit

=====

MgFe2Cl | PBE-GGA | optimized geometry

Unit cell a=3.101 b=3.101 c=7.848 alpha=90.00 beta=90.00 gamma=90.00
Last column: magnetic moment on the atom in μB.
Atoms (fractional coordinates):
Cl (0.500, 0.500, 0.658)  0.02
Fe (0.000, 0.000, 0.119)  2.90
Fe (0.500, 0.500, 0.246)  2.35
Mg (0.000, 0.000, 0.477)  -0.02

**Total energy**: -5.1643 eV per atom
**Space-group type**: No. 99
**E_form (uncorrected)**: -0.073 eV per atom
**Magnetic moment**: 5.286 μB per formula unit

=====

BaAcPPd | PBE-GGA | optimized geometry

Unit cell a=5.425 b=5.425 c=5.425 alpha=60.00 beta=60.00 gamma=60.00
Atoms (fractional coordinates):
P (0.500, 0.500, 0.500)
Ac (0.250, 0.250, 0.250)
Ba (0.750, 0.750, 0.750)
Pd (0.000, 0.000, 0.000)

**Total energy**: -4.9349 eV per atom
**Space-group type**: No. 216
**ΔE_f**: -0.78 eV per atom
**Magnetic moment**: 0.000 μB per formula unit

=====

TmMg3Ga3 | PBE-GGA | optimized geometry

Unit cell a=7.280 b=7.280 c=7.280 alpha=90.00 beta=90.00 gamma=90.00
Atoms (fractional coordinates):
Mg (0.000, 0.250, 0.500)
Mg (0.000, 0.750, 0.500)
Mg (0.500, 0.000, 0.750)
Mg (0.750, 0.500, 0.000)
Mg (0.500, 0.000, 0.250)
Mg (0.250, 0.500, 0.000)
Tm (0.500, 0.500, 0.500)
Tm (0.000, 0.000, 0.000)
Ga (0.250, 0.000, 0.500)
Ga (0.000, 0.500, 0.250)
Ga (0.500, 0.750, 0.000)
Ga (0.750, 0.000, 0.500)
Ga (0.000, 0.500, 0.750)
Ga (0.500, 0.250, 0.000)

**Total energy**: -2.1803 eV per atom
**Space-group type**: No. 223
**ΔE_f**: 0.44 eV per atom
**Magnetic moment**: 0.000 μB per formula unit

=====

CsVOs2Pb | PBE-GGA | optimized geometry

Unit cell a=4.709 b=5.423 c=4.709 alpha=90.00 beta=90.00 gamma=90.00
Atoms (fractional coordinates):
Pb (0.000, 0.500, 0.000)
Cs (0.500, 0.500, 0.500)
Os (0.000, 0.000, 0.500)
Os (0.500, 0.000, 0.000)
V (0.000, 0.000, 0.000)

**Total energy**: -5.7760 eV per atom
**Space-group type**: No. 123
**ΔE_f**: 1.45 eV per atom
**Magnetic moment**: 0.000 μB per formula unit

=====

Pm2FeSi | PBE-GGA | optimized geometry

Unit cell a=3.825 b=4.846 c=4.846 alpha=90.00 beta=90.00 gamma=90.00
Last column: magnetic moment on the atom in μB.
Atoms (fractional coordinates):
Si (0.500, 0.500, 0.500)  0.02
Fe (0.500, 0.000, 0.000)  2.27
Pm (0.000, 0.000, 0.500)  -0.23
Pm (0.000, 0.500, 0.000)  -0.23

**Total energy**: -5.9577 eV per atom
**Space-group type**: No. 123
**E_form (uncorrected)**: -0.111 eV per atom
**Magnetic moment**: 1.563 μB per formula unit

=====

Rb2LaErS4 | PBE-GGA | optimized geometry

Unit cell a=4.183 b=7.251 c=8.060 alpha=107.39 beta=90.00 gamma=90.00
Atoms (fractional coordinates):
Rb (0.500, 0.000, 0.500)
Rb (0.000, 0.500, 0.500)
La (0.500, 0.500, 0.000)
Er (0.000, 0.000, 0.000)
S (0.500, 0.219, 0.192)
S (0.500, 0.781, 0.808)
S (0.000, 0.255, 0.804)
S (0.000, 0.745, 0.196)

**Total energy**: -5.3560 eV per atom
**Space-group type**: No. 10
**E_form (uncorrected)**: -1.864 eV per atom
**Magnetic moment**: 0.000 μB per formula unit

=====

HgPtW2 | PBE-GGA | optimized geometry

Unit cell a=4.949 b=4.949 c=2.776 alpha=90.00 beta=90.00 gamma=90.00
Atoms (fractional coordinates):
Hg (0.500, 0.000, 0.500)
Pt (0.000, 0.500, 0.500)
W (0.000, 0.000, 0.000)
W (0.500, 0.500, 0.000)

**Total energy**: -7.3784 eV per atom
**Space-group type**: No. 123
**ΔE_f**: 0.68 eV per atom
**Magnetic moment**: 0.000 μB per formula unit

=====

Pm3SmY2 | PBE-GGA | optimized geometry

Unit cell a=11.288 b=8.990 c=8.990 alpha=44.24 beta=51.11 gamma=51.11
Atoms (fractional coordinates):
Pm (0.500, 0.250, 0.750)
Pm (0.500, 0.750, 0.250)
Pm (0.237, 0.013, 0.513)
Pm (0.763, 0.487, 0.987)
Pm (0.763, 0.987, 0.487)
Pm (0.237, 0.513, 0.013)
Sm (0.000, 0.500, 0.500)
Sm (0.000, 0.000, 0.000)
Y (0.922, 0.321, 0.321)
Y (0.565, 0.179, 0.179)
Y (0.435, 0.821, 0.821)
Y (0.078, 0.679, 0.679)

**Total energy**: -4.7474 eV per atom
**Space-group type**: No. 72
**ΔE_f**: 0.57 eV per atom
**Magnetic moment**: 0.000 μB per formula unit